{"formula": "HfFe4As2", "functional": "PBE", "state": "optimized geometry", "lattice_angstrom": [[6.996, 0.000, 0.000], [0.000, 6.996, 0.000], [0.000, 0.000, 3.857]], "species": ["Hf", "Hf", "Fe", "Fe", "Fe", "Fe", "Fe", "Fe", "Fe", "Fe", "As", "As", "As", "As"], "fractional_positions": [[0.000, 0.000, 0.000], [0.500, 0.500, 0.500], [0.094, 0.352, 0.500], [0.148, 0.594, 0.000], [0.352, 0.094, 0.500], [0.406, 0.852, 0.000], [0.594, 0.148, 0.000], [0.648, 0.906, 0.500], [0.852, 0.406, 0.000], [0.906, 0.648, 0.500], [0.214, 0.786, 0.500], [0.286, 0.286, 0.000], [0.714, 0.714, 0.000], [0.786, 0.214, 0.500]], "n_ef_per_ev_fu": 5.34, "energy_ev_per_cell": -111.09, "formation_enthalpy_0k_mev_per_atom": -348.6, "magmom_total_mub_per_fu": 6.698}



{"formula": "TiCrTe2", "functional": "PBE", "state": "optimized geometry", "lattice_angstrom": [[-3.182, 3.182, 6.242], [3.182, -3.182, 6.242], [3.182, 3.182, -6.242]], "species": ["Ti", "Ti", "Cr", "Cr", "Te", "Te", "Te", "Te"], "fractional_positions": [[0.000, 0.000, 0.000], [0.750, 0.250, 0.500], [0.250, 0.750, 0.500], [0.500, 0.500, 0.000], [0.124, 0.625, 0.999], [0.375, 0.374, 0.499], [0.626, 0.125, 0.001], [0.875, 0.876, 0.501]], "n_ef_per_ev_fu": 3.85, "energy_ev_per_cell": -48.22, "raw_formation_energy_mev_per_atom": -77, "relative_energy_mev_per_atom": 0, "magmom_total_mub_per_fu": 6.000}



{"formula": "Nd2DyTmSc4", "functional": "PBE", "state": "optimized geometry", "lattice_angstrom": [[4.972, 0.000, 0.000], [0.000, 4.972, 0.000], [0.000, 0.000, 9.207]], "species": ["Nd", "Nd", "Dy", "Tm", "Sc", "Sc", "Sc", "Sc"], "fractional_positions": [[0.000, 0.000, 0.000], [0.500, 0.500, 0.500], [0.000, 0.000, 0.500], [0.500, 0.500, 0.000], [0.000, 0.500, 0.249], [0.000, 0.500, 0.751], [0.500, 0.000, 0.249], [0.500, 0.000, 0.751]], "n_ef_per_ev_fu": 12.74, "energy_ev_per_cell": -43.50, "formation_enthalpy_0k_mev_per_atom": 54.3, "magmom_total_mub_per_fu": 0.000}



{"formula": "AlHgGe3", "functional": "PBE", "state": "optimized geometry", "lattice_angstrom": [[5.208, 0.000, 0.000], [0.000, 5.208, 0.000], [0.000, 0.000, 5.208]], "species": ["Al", "Hg", "Ge", "Ge", "Ge"], "fractional_positions": [[0.000, 0.000, 0.000], [0.500, 0.500, 0.500], [0.000, 0.500, 0.500], [0.500, 0.000, 0.500], [0.500, 0.500, 0.000]], "n_ef_per_ev_fu": 4.20, "energy_ev_per_cell": -12.89, "formation_enthalpy_0k_mev_per_atom": 1001.7, "relative_energy_mev_per_atom": 463, "magmom_total_mub_per_fu": 0.000}



{"formula": "ZrSb2TePt", "functional": "PBE", "state": "optimized geometry", "lattice_angstrom": [[5.492, 0.000, 0.000], [0.000, 5.492, 0.000], [0.000, 0.000, 5.387]], "species": ["Zr", "Sb", "Sb", "Te", "Pt"], "fractional_positions": [[0.000, 0.000, 0.000], [0.000, 0.500, 0.000], [0.500, 0.000, 0.000], [0.000, 0.000, 0.500], [0.500, 0.500, 0.500]], "n_ef_per_ev_fu": 4.39, "energy_ev_per_cell": -22.50, "raw_formation_energy_mev_per_atom": 695, "relative_energy_mev_per_atom": 291, "magmom_total_mub_per_fu": 0.000}



{"formula": "TaAg2Br", "functional": "PBE", "state": "optimized geometry", "lattice_angstrom": [[3.053, 0.000, 0.000], [0.000, 3.053, 0.000], [0.000, 0.000, 9.119]], "species": ["Ta", "Ag", "Ag", "Br"], "fractional_positions": [[0.000, 0.000, 0.000], [0.000, 0.000, 0.435], [0.500, 0.500, 0.219], [0.500, 0.500, 0.811]], "n_ef_per_ev_fu": 1.44, "energy_ev_per_cell": -18.30, "raw_formation_energy_mev_per_atom": 232, "relative_energy_mev_per_atom": 20, "magmom_total_mub_per_fu": 0.000}



{"formula": "Hf3Be4Ge2", "functional": "PBE", "state": "optimized geometry", "lattice_angstrom": [[4.824, -1.854, 0.000], [4.824, 1.854, 0.000], [-1.660, 0.000, 7.177]], "species": ["Hf", "Hf", "Hf", "Be", "Be", "Be", "Be", "Ge", "Ge"], "fractional_positions": [[0.000, 0.000, 0.000], [0.338, 0.338, 0.327], [0.662, 0.662, 0.673], [0.051, 0.051, 0.395], [0.269, 0.269, 0.949], [0.731, 0.731, 0.051], [0.949, 0.949, 0.605], [0.384, 0.384, 0.721], [0.616, 0.616, 0.279]], "n_ef_per_ev_fu": 3.14, "energy_ev_per_cell": -58.08, "formation_enthalpy_0k_mev_per_atom": -453.5, "magmom_total_mub_per_fu": 0.000}



{"formula": "Pm6CuPd5", "functional": "PBE", "state": "optimized geometry", "lattice_angstrom": [[3.637, -6.250, 0.000], [3.637, 6.250, 0.000], [-2.389, 0.000, 6.847]], "species": ["Pm", "Pm", "Pm", "Pm", "Pm", "Pm", "Cu", "Pd", "Pd", "Pd", "Pd", "Pd"], "fractional_positions": [[0.078, 0.415, 0.746], [0.245, 0.245, 0.248], [0.415, 0.078, 0.746], [0.585, 0.922, 0.254], [0.755, 0.755, 0.752], [0.922, 0.585, 0.254], [0.500, 0.500, 0.000], [0.000, 0.000, 0.500], [0.168, 0.832, 0.000], [0.336, 0.664, 0.500], [0.664, 0.336, 0.500], [0.832, 0.168, 0.000]], "n_ef_per_ev_fu": 7.52, "energy_ev_per_cell": -65.42, "formation_enthalpy_0k_mev_per_atom": -571.6, "magmom_total_mub_per_fu": 0.000}



{"formula": "CaFeSb3", "functional": "PBE", "state": "optimized geometry", "lattice_angstrom": [[5.650, 0.000, 0.000], [0.000, 5.650, 0.000], [0.000, 0.000, 5.650]], "species": ["Ca", "Fe", "Sb", "Sb", "Sb"], "fractional_positions": [[0.000, 0.000, 0.000], [0.500, 0.500, 0.500], [0.000, 0.000, 0.500], [0.000, 0.500, 0.000], [0.500, 0.000, 0.000]], "n_ef_per_ev_fu": 12.54, "energy_ev_per_cell": -16.95, "raw_formation_energy_mev_per_atom": 1175, "relative_energy_mev_per_atom": 1125, "magmom_total_mub_per_fu": 3.486}



{"formula": "ZnIn2Co", "functional": "PBE", "state": "optimized geometry", "lattice_angstrom": [[3.054, 0.000, 0.000], [0.000, 3.054, 0.000], [0.000, 0.000, 7.779]], "species": ["Zn", "In", "In", "Co"], "fractional_positions": [[0.000, 0.000, 0.000], [0.500, 0.500, 0.287], [0.500, 0.500, 0.713], [0.000, 0.000, 0.500]], "n_ef_per_ev_fu": 2.76, "energy_ev_per_cell": -13.04, "formation_enthalpy_0k_mev_per_atom": 203.8, "magmom_total_mub_per_fu": 0.569}



{"formula": "HgPtS2", "functional": "PBE", "state": "optimized geometry", "lattice_angstrom": [[3.573, 0.000, 0.000], [1.786, 3.095, 0.000], [0.282, 0.274, 9.024]], "species": ["Hg", "Pt", "S", "S"], "fractional_positions": [[0.000, 0.000, 0.000], [0.003, 0.999, 0.500], [0.341, 0.344, 0.363], [0.664, 0.653, 0.637]], "n_ef_per_ev_fu": 0.00, "energy_ev_per_cell": -15.63, "raw_formation_energy_mev_per_atom": -258, "magmom_total_mub_per_fu": 0.000}



{"formula": "InCu2Ru", "functional": "PBE", "state": "optimized geometry", "lattice_angstrom": [[-2.011, 2.016, 3.649], [2.011, -2.016, 3.649], [2.011, 2.016, -3.649]], "species": ["In", "Cu", "Cu", "Ru"], "fractional_positions": [[0.000, 0.000, 0.000], [0.501, 0.501, 0.000], [0.750, 0.250, 0.500], [0.250, 0.750, 0.500]], "n_ef_per_ev_fu": 2.76, "energy_ev_per_cell": -19.54, "formation_enthalpy_0k_mev_per_atom": 166.0, "magmom_total_mub_per_fu": 0.000}



{"formula": "CrNi", "functional": "PBE", "state": "optimized geometry", "lattice_angstrom": [[3.997, 0.000, 0.000], [-1.998, 3.461, 0.000], [0.000, 0.000, 7.103]], "species": ["Cr", "Cr", "Cr", "Cr", "Ni", "Ni", "Ni", "Ni"], "fractional_positions": [[0.000, 0.000, 0.250], [0.000, 0.000, 0.750], [0.333, 0.667, 0.250], [0.667, 0.333, 0.750], [0.333, 0.667, 0.575], [0.333, 0.667, 0.925], [0.667, 0.333, 0.075], [0.667, 0.333, 0.425]], "n_ef_per_ev_fu": 3.42, "energy_ev_per_cell": -58.73, "formation_enthalpy_0k_mev_per_atom": 360.8, "magmom_total_mub_per_fu": 0.386}



{"formula": "Zr4Be2Te", "functional": "PBE", "state": "optimized geometry", "lattice_angstrom": [[-2.604, 2.604, 6.173], [2.604, -2.604, 6.173], [2.604, 2.604, -6.173]], "species": ["Zr", "Zr", "Zr", "Zr", "Be", "Be", "Te"], "fractional_positions": [[0.000, 0.500, 0.500], [0.224, 0.224, 0.000], [0.500, 0.000, 0.500], [0.776, 0.776, 0.000], [0.422, 0.422, 0.000], [0.578, 0.578, 0.000], [0.000, 0.000, 0.000]], "n_ef_per_ev_fu": 6.64, "energy_ev_per_cell": -40.66, "raw_formation_energy_mev_per_atom": 589, "magmom_total_mub_per_fu": 0.000}



{"formula": "Cs2MgSbSe4", "functional": "PBE", "state": "optimized geometry", "lattice_angstrom": [[0.000, 7.592, 12.958], [3.301, 0.000, 12.958], [3.301, 7.592, 0.000]], "species": ["Cs", "Cs", "Cs", "Cs", "Mg", "Mg", "Sb", "Sb", "Se", "Se", "Se", "Se", "Se", "Se", "Se", "Se"], "fractional_positions": [[0.054, 0.054, 0.696], [0.304, 0.304, 0.946], [0.696, 0.696, 0.054], [0.946, 0.946, 0.304], [0.125, 0.125, 0.125], [0.875, 0.875, 0.875], [0.375, 0.375, 0.375], [0.625, 0.625, 0.625], [0.032, 0.323, 0.417], [0.273, 0.583, 0.677], [0.323, 0.032, 0.727], [0.417, 0.727, 0.032], [0.583, 0.273, 0.968], [0.677, 0.968, 0.273], [0.727, 0.417, 0.323], [0.968, 0.677, 0.583]], "n_ef_per_ev_fu": 4.52, "energy_ev_per_cell": -56.45, "raw_formation_energy_mev_per_atom": -858, "magmom_total_mub_per_fu": 0.695}



{"formula": "NbGaIO2", "functional": "PBE", "state": "optimized geometry", "lattice_angstrom": [[4.101, 0.000, 0.000], [0.000, 4.101, 0.000], [0.000, 0.000, 5.969]], "species": ["Nb", "Ga", "I", "O", "O"], "fractional_positions": [[0.000, 0.000, 0.000], [0.500, 0.500, 0.500], [0.000, 0.000, 0.500], [0.000, 0.500, 0.000], [0.500, 0.000, 0.000]], "n_ef_per_ev_fu": 2.48, "energy_ev_per_cell": -29.96, "raw_formation_energy_mev_per_atom": -1080, "relative_energy_mev_per_atom": 0, "magmom_total_mub_per_fu": 0.593}



{"formula": "PmNdPH", "functional": "PBE", "state": "optimized geometry", "lattice_angstrom": [[2.007, 1.159, 13.002], [-2.007, 1.159, 13.002], [0.000, -2.318, 13.002]], "species": ["Pm", "Pm", "Nd", "Nd", "P", "P", "H", "H"], "fractional_positions": [[0.124, 0.124, 0.124], [0.876, 0.876, 0.876], [0.290, 0.290, 0.290], [0.710, 0.710, 0.710], [0.000, 0.000, 0.000], [0.500, 0.500, 0.500], [0.230, 0.230, 0.230], [0.770, 0.770, 0.770]], "n_ef_per_ev_fu": 2.47, "energy_ev_per_cell": -44.42, "magmom_total_mub_per_fu": 0.000}



{"formula": "TlC", "functional": "PBE", "state": "optimized geometry", "lattice_angstrom": [[6.225, 0.000, 0.000], [-3.112, 5.391, 0.000], [0.000, 0.000, 2.692]], "species": ["Tl", "Tl", "C", "C"], "fractional_positions": [[0.333, 0.667, 0.250], [0.667, 0.333, 0.750], [0.000, 0.000, 0.250], [0.000, 0.000, 0.750]], "n_ef_per_ev_fu": 0.81, "energy_ev_per_cell": -19.95, "formation_enthalpy_0k_mev_per_atom": 807.7, "relative_energy_mev_per_atom": 24, "magmom_total_mub_per_fu": 0.000}



{"formula": "CaReW2", "functional": "PBE", "state": "optimized geometry", "lattice_angstrom": [[2.730, 0.000, 0.000], [0.000, 4.652, 0.000], [-0.889, 0.000, 5.489]], "species": ["Ca", "Re", "W", "W"], "fractional_positions": [[0.000, 0.000, 0.000], [0.500, 0.000, 0.500], [0.269, 0.500, 0.736], [0.731, 0.500, 0.264]], "n_ef_per_ev_fu": 3.62, "energy_ev_per_cell": -37.71, "formation_enthalpy_0k_mev_per_atom": 662.1, "relative_energy_mev_per_atom": 156, "magmom_total_mub_per_fu": 0.000}



{"formula": "Co4Ni8Pt", "functional": "PBE", "state": "optimized geometry", "lattice_angstrom": [[3.984, -1.779, 0.000], [3.984, 1.779, 0.000], [-0.777, 0.000, 10.383]], "species": ["Co", "Co", "Co", "Co", "Ni", "Ni", "Ni", "Ni", "Ni", "Ni", "Ni", "Ni", "Pt"], "fractional_positions": [[0.119, 0.119, 0.163], [0.347, 0.347, 0.464], [0.653, 0.653, 0.536], [0.881, 0.881, 0.837], [0.041, 0.041, 0.387], [0.193, 0.193, 0.915], [0.268, 0.268, 0.687], [0.423, 0.423, 0.238], [0.577, 0.577, 0.762], [0.732, 0.732, 0.313], [0.807, 0.807, 0.085], [0.959, 0.959, 0.613], [0.500, 0.500, 0.000]], "n_ef_per_ev_fu": 17.92, "energy_ev_per_cell": -80.88, "formation_enthalpy_0k_mev_per_atom": -12.9, "magmom_total_mub_per_fu": 12.460}